Computed, not measured: a relaxed CaLa2Sm12 crystal at the PBE level of DFT.

Energy relative to the elements   0.15 eV/atom
Total moment   0.000 μB/cell
V   1065.2 Å³/cell

abc: 6.831 6.831 25.485
angles: 90.00 90.00 116.40
Sites, in units of the cell vectors:
Ca 0.500 0.000 0.000
Ca 0.000 0.500 0.000
La 0.500 0.000 0.270
La 0.000 0.500 0.277
La 0.000 0.500 0.730
La 0.500 0.000 0.723
Sm 0.500 0.500 0.797
Sm 0.000 0.000 0.797
Sm 0.750 0.750 0.917
Sm 0.252 0.752 0.865
Sm 0.000 0.000 0.330
Sm 0.248 0.748 0.135
Sm 0.770 0.270 0.580
Sm 0.500 0.500 0.330
Sm 0.250 0.250 0.917
Sm 0.750 0.750 0.083
Sm 0.274 0.226 0.558
Sm 0.730 0.230 0.420
Sm 0.000 0.000 0.670
Sm 0.226 0.274 0.442
Sm 0.250 0.250 0.083
Sm 0.774 0.726 0.442
Sm 0.726 0.774 0.558
Sm 0.000 0.000 0.203
Sm 0.230 0.730 0.580
Sm 0.500 0.500 0.670
Sm 0.748 0.248 0.865
Sm 0.500 0.500 0.203
Sm 0.270 0.770 0.420
Sm 0.752 0.252 0.135

=====

Computed, not measured: a relaxed CeCo2Si2Os crystal at the PBE level of DFT.

Total moment   1.385 μB/cell
V   108.5 Å³/cell
Formation energy without anion corrections   0.16 eV/atom

abc: 4.575 4.575 5.183
angles: 90.00 90.00 90.00
Each line ends with the local moment (μB).
Sites, in units of the cell vectors:
Ce 0.000 0.000 0.500  -0.36
Co 0.500 0.500 0.761  1.03
Co 0.500 0.500 0.239  1.03
Si 0.500 0.000 0.000  -0.02
Si 0.000 0.500 0.000  -0.02
Os 0.000 0.000 0.000  0.01

=====

Computed, not measured: a relaxed SnHg2Cl crystal at the PBE level of DFT.

Offset from the most stable computed form   6 meV per atom
Total moment   0.000 μB/cell
V   108.3 Å³/cell
Formation energy without anion corrections   -0.14 eV/atom

abc: 3.483 3.483 10.503
angles: 80.45 80.45 60.00
Sites, in units of the cell vectors:
Cl 0.500 0.500 0.500
Hg 0.095 0.095 0.714
Hg 0.905 0.905 0.286
Sn 0.000 0.000 0.000

=====

Computed, not measured: a relaxed CoBSb2I crystal at the PBE level of DFT.

Offset from the most stable computed form   0 meV per atom
Total moment   0.000 μB/cell
V   129.3 Å³/cell
Formation energy without anion corrections   1.20 eV/atom

abc: 4.817 4.817 5.574
angles: 90.00 90.00 90.00
Sites, in units of the cell vectors:
I 0.000 0.000 0.500
Sb 0.000 0.500 0.000
Sb 0.500 0.000 0.000
B 0.500 0.500 0.500
Co 0.000 0.000 0.000

=====

Computed, not measured: a relaxed KSrAs2 crystal at the PBE level of DFT.

Offset from the most stable computed form   416 meV per atom
Energy relative to the elements   -0.29 eV/atom
Total moment   0.096 μB/cell
V   113.6 Å³/cell

abc: 6.291 6.291 6.291
angles: 137.19 137.19 62.15
Sites, in units of the cell vectors:
As 0.000 0.000 0.000
As 0.250 0.750 0.500
K 0.500 0.500 0.000
Sr 0.750 0.250 0.500

=====

Computed, not measured: a relaxed ZnGa2Sn crystal at the PBE level of DFT.

Offset from the most stable computed form   50 meV per atom
Energy relative to the elements   0.11 eV/atom
Total moment   0.000 μB/cell
V   169.5 Å³/cell

abc: 7.731 7.731 6.159
angles: 51.12 51.12 90.00
Sites, in units of the cell vectors:
Zn 0.500 0.500 0.000
Zn 0.250 0.750 0.500
Sn 0.000 0.000 0.000
Sn 0.750 0.250 0.500
Ga 0.596 0.125 0.250
Ga 0.154 0.625 0.250
Ga 0.375 0.404 0.750
Ga 0.875 0.846 0.750

=====

Computed, not measured: a relaxed LaTb2Tm7 crystal at the PBE level of DFT.

Offset from the most stable computed form   680 meV per atom
Energy relative to the elements   0.71 eV/atom
Total moment   0.000 μB/cell
V   387.7 Å³/cell

abc: 5.560 9.158 9.158
angles: 123.74 90.00 90.00
Sites, in units of the cell vectors:
La 0.000 0.000 0.000
Tb 0.500 0.703 0.297
Tb 0.500 0.297 0.703
Tm 0.000 0.786 0.214
Tm 0.000 0.214 0.786
Tm 0.500 0.061 0.291
Tm 0.500 0.939 0.709
Tm 0.500 0.291 0.061
Tm 0.500 0.709 0.939
Tm 0.500 0.500 0.500

=====

Computed, not measured: a relaxed Zr3GaCl crystal at the PBE level of DFT.

Offset from the most stable computed form   0 meV per atom
Total moment   0.000 μB/cell
V   108.5 Å³/cell
Formation energy without anion corrections   -0.03 eV/atom

abc: 4.770 4.770 4.770
angles: 90.00 90.00 90.00
Sites, in units of the cell vectors:
Ga 0.500 0.500 0.500
Zr 0.000 0.500 0.000
Zr 0.000 0.000 0.500
Zr 0.500 0.000 0.000
Cl 0.000 0.000 0.000

=====

Computed, not measured: a relaxed KSnBi crystal at the PBE level of DFT.

Energy relative to the elements   -0.20 eV/atom
Total moment   0.000 μB/cell
V   106.7 Å³/cell

abc: 4.080 4.080 7.031
angles: 106.87 106.87 90.00
Sites, in units of the cell vectors:
K 0.999 0.999 0.997
Bi 0.699 0.699 0.398
Sn 0.302 0.302 0.605

=====

Computed, not measured: a relaxed La3Pm5Dy crystal at the PBE level of DFT.

Energy relative to the elements   0.39 eV/atom
Total moment   0.000 μB/cell
V   669.2 Å³/cell

abc: 7.436 7.436 13.304
angles: 77.18 77.18 70.98
Sites, in units of the cell vectors:
La 0.557 0.557 0.788
La 0.726 0.726 0.550
La 0.000 0.000 0.000
La 0.000 0.000 0.500
La 0.443 0.443 0.212
La 0.274 0.274 0.450
Pm 0.977 0.358 0.219
Pm 0.316 0.684 0.000
Pm 0.736 0.736 0.042
Pm 0.580 0.580 0.382
Pm 0.420 0.420 0.618
Pm 0.264 0.264 0.958
Pm 0.358 0.977 0.219
Pm 0.684 0.316 0.000
Pm 0.023 0.642 0.781
Pm 0.642 0.023 0.781
Dy 0.120 0.120 0.735
Dy 0.880 0.880 0.265

=====

Computed, not measured: a relaxed Mg2ZrO4 crystal at the PBE level of DFT.

Total moment   0.000 μB/cell
V   93.5 Å³/cell
Formation energy without anion corrections   -2.92 eV/atom

abc: 3.367 5.204 6.678
angles: 123.08 104.60 90.00
Sites, in units of the cell vectors:
Mg 0.646 0.771 0.292
Mg 0.354 0.229 0.708
Zr 0.000 0.000 0.000
O 0.837 0.999 0.674
O 0.163 0.001 0.326
O 0.553 0.312 0.105
O 0.447 0.688 0.895

=====

Computed, not measured: a relaxed Ca2NpPaN4 crystal at the PBE level of DFT.

Total moment   3.927 μB/cell
V   123.4 Å³/cell
Formation energy without anion corrections   -1.30 eV/atom

abc: 3.527 6.107 6.092
angles: 109.92 90.00 90.00
Each line ends with the local moment (μB).
Sites, in units of the cell vectors:
Ca 0.500 0.000 0.500  0.05
Ca 0.000 0.500 0.500  0.06
Np 0.500 0.500 0.000  3.27
Pa 0.000 0.000 0.000  0.40
N 0.500 0.231 0.217  -0.05
N 0.500 0.769 0.783  -0.05
N 0.000 0.260 0.785  -0.10
N 0.000 0.740 0.215  -0.10